An optimized crystal structure of Tb2TmGe3PdPt2. Source: OQMD via LeMat-Bulk, functional GGA-PBE.

## Properties
total moment	0.00	μB/atom
symmetry	Amm2
calculated total energy	-54.07	eV per cell

Geometry as POSCAR:
```
Tb2TmGe3PdPt2
1.0
-1.7078 -2.2423 -2.7101
-4.4984 -2.6221 5.0042
-1.8387 5.9057 -3.7276
Tb Pt Ge Pd Tm
2 2 3 1 1
direct
0.0000 0.5929 0.9996 Tb
0.0000 0.9996 0.5929 Tb
0.5000 0.3345 0.6626 Pt
0.5000 0.6626 0.3345 Pt
0.5000 0.0012 0.2557 Ge
0.5000 0.2557 0.0012 Ge
0.5000 0.7443 0.7443 Ge
0.0000 0.0035 0.0035 Pd
0.0000 0.4056 0.4056 Tm
```